1.
Below is a relaxed FeRePBr2 crystal, with properties calculated at the PBE-GGA level.

The space group is P4/mmm (No. 123) and the conventional cell measures 5.5650, 5.5650 and 4.3062 Å, with angles of 90.00, 90.00 and 90.00 degrees. Symmetry generates all atoms from Fe at (0.0000, 0.0000, 0.0000), Re at (0.5000, 0.5000, 0.0000), P at (0.0000, 0.0000, 0.5000) and Br at (0.0000, 0.5000, 0.5000).

The energy is -4.3783 eV per atom. The value obtained for the volume is 133.4 Å³ per cell. The density is 5.39 Mg/m³.

***

2.
Below is a relaxed FePRh2Br crystal, with properties calculated at the PBE-GGA level.

The space group is P4/mmm (No. 123) and the conventional cell measures 4.3222, 4.3222 and 5.4127 Å, with angles of 90.00, 90.00 and 90.00 degrees. Symmetry generates all atoms from Fe at (0.0000, 0.0000, 0.0000), P at (0.5000, 0.5000, 0.5000), Rh at (0.0000, 0.5000, 0.5000) and Br at (0.5000, 0.5000, 0.0000).

The energy is -5.3968 eV per atom. The value obtained for the volume is 101.1 Å³ per cell. The density is 6.12 Mg/m³.

***

3.
Below is a relaxed Fe2PSeBr crystal, with properties calculated at the PBE-GGA level.

The space group is P4/mmm (No. 123) and the conventional cell measures 4.4881, 4.4881 and 5.1476 Å, with angles of 90.00, 90.00 and 90.00 degrees. Symmetry generates all atoms from Fe at (0.0000, 0.5000, 0.0000), P at (0.0000, 0.0000, 0.5000), Se at (0.5000, 0.5000, 0.5000) and Br at (0.0000, 0.0000, 0.0000).

The energy above the lowest structure with this stoichiometry is 0 meV/atom. The value obtained for the volume is 103.7 Å³ per cell. The density is 4.83 Mg/m³.

***

4.
Below is a relaxed Fe2PSeBr crystal, with properties calculated at the PBE-GGA level.

The space group is P4/mmm (No. 123) and the conventional cell measures 4.4047, 4.4047 and 5.7958 Å, with angles of 90.00, 90.00 and 90.00 degrees. Symmetry generates all atoms from Fe at (0.0000, 0.5000, 0.0000), P at (0.0000, 0.0000, 0.5000), Se at (0.5000, 0.5000, 0.5000) and Br at (0.5000, 0.5000, 0.0000).

The energy above the lowest structure with this stoichiometry is 95 meV/atom. The value obtained for the volume is 112.4 Å³ per cell. The density is 4.45 Mg/m³.

***

5.
Below is a relaxed SrFeP2Br crystal, with properties calculated at the PBE-GGA level.

The space group is P4/mmm (No. 123) and the conventional cell measures 4.2563, 4.2563 and 6.3876 Å, with angles of 90.00, 90.00 and 90.00 degrees. Symmetry generates all atoms from Sr at (0.0000, 0.0000, 0.0000), Fe at (0.0000, 0.0000, 0.5000), P at (0.0000, 0.5000, 0.5000) and Br at (0.5000, 0.5000, 0.0000).

The energy is -5.0994 eV per atom. The value obtained for the volume is 115.7 Å³ per cell. The density is 4.09 Mg/m³.

***

6.
Below is a relaxed FeTc2PBr crystal, with properties calculated at the PBE-GGA level.

The space group is P4/mmm (No. 123) and the conventional cell measures 4.6179, 4.6179 and 4.3131 Å, with angles of 90.00, 90.00 and 90.00 degrees. Symmetry generates all atoms from Fe at (0.0000, 0.0000, 0.0000), Tc at (0.0000, 0.5000, 0.5000), P at (0.5000, 0.5000, 0.0000) and Br at (0.0000, 0.0000, 0.5000).

The energy is -5.5524 eV per atom. The value obtained for the volume is 92.0 Å³ per cell. The density is 6.55 Mg/m³.

***

7.
Below is a relaxed TlFePBr2 crystal, with properties calculated at the PBE-GGA level.

The space group is P4/mmm (No. 123) and the conventional cell measures 5.8016, 5.8016 and 4.2831 Å, with angles of 90.00, 90.00 and 90.00 degrees. Symmetry generates all atoms from Tl at (0.0000, 0.0000, 0.0000), Fe at (0.5000, 0.5000, 0.0000), P at (0.5000, 0.5000, 0.5000) and Br at (0.0000, 0.5000, 0.5000).

The energy is -3.8160 eV per atom. The value obtained for the volume is 144.2 Å³ per cell. The density is 5.19 Mg/m³.

***

8.
Below is a relaxed FePbBr crystal, with properties calculated at the PBE-GGA level.

The space group is I4mm (No. 107) and the conventional cell measures 3.2480, 3.2480 and 14.3829 Å, with angles of 90.00, 90.00 and 90.00 degrees. Symmetry generates all atoms from Fe at (0.0000, 0.0000, 0.0000), Pb at (0.0000, 0.0000, 0.3521) and Br at (0.0000, 0.0000, 0.5981).

The energy above the lowest structure with this stoichiometry is 119 meV/atom. The value obtained for the volume is 151.7 Å³ per cell. The density is 7.51 Mg/m³.